Record 1
! TmAlW GGA-PBE optimized geometry; values from VASP
&SYSTEM
  ibrav = 0, nat = 9, ntyp = 3
/
ATOMIC_SPECIES
W 183.84 W.upf
Tm 168.93 Tm.upf
Al 26.98 Al.upf
ATOMIC_POSITIONS crystal
W 0.5000 0.2142 0.2142
W 0.5000 0.7858 0.0000
W 0.5000 0.0000 0.7858
Tm 0.0000 0.5704 0.5704
Tm 0.0000 0.0000 0.4296
Tm 0.0000 0.4296 0.0000
Al 0.0000 0.0000 0.0000
Al 0.5000 0.3333 0.6667
Al 0.5000 0.6667 0.3333
CELL_PARAMETERS angstrom
4.5199 0.0000 0.0000
0.0000 6.9036 0.0000
0.0000 -3.4518 5.9787
! formation energy from the elements = 0.038 eV per atom
! uncorrected energy = -0.5158 Ry/atom

***

Record 2
! TmAl4W GGA-PBE optimized geometry; values from VASP
&SYSTEM
  ibrav = 0, nat = 6, ntyp = 3
/
ATOMIC_SPECIES
Tm 168.93 Tm.upf
Al 26.98 Al.upf
W 183.84 W.upf
ATOMIC_POSITIONS crystal
Tm 0.2500 0.2500 0.2500
Al 0.6251 0.6251 0.1248
Al 0.6251 0.6251 0.6251
Al 0.1248 0.6251 0.6251
Al 0.6251 0.1248 0.6251
W 0.0000 0.0000 0.0000
CELL_PARAMETERS angstrom
5.2369 0.0000 0.0000
2.6185 4.5353 0.0000
2.6185 1.5118 4.2759
! formation energy from the elements = -0.151 eV per atom
! uncorrected energy = -0.4079 Ry/atom

***

Record 3
! TmAl2W GGA-PBE optimized geometry; values from VASP
&SYSTEM
  ibrav = 0, nat = 4, ntyp = 3
/
ATOMIC_SPECIES
Al 26.98 Al.upf
W 183.84 W.upf
Tm 168.93 Tm.upf
ATOMIC_POSITIONS crystal
Al 0.2591 0.2591 0.2227
Al 0.7409 0.7409 0.7773
W 0.0000 0.0000 0.0000
Tm 0.5000 0.5000 0.5000
CELL_PARAMETERS angstrom
2.9866 0.0000 0.0000
1.4933 2.5865 0.0000
1.4933 0.8622 9.7078
! formation energy from the elements = 0.131 eV per atom
! uncorrected energy = -0.4481 Ry/atom

***

Record 4
! Y2Tm4Al GGA-PBE optimized geometry; values from VASP
&SYSTEM
  ibrav = 0, nat = 7, ntyp = 3
/
ATOMIC_SPECIES
Y 88.91 Y.upf
Tm 168.93 Tm.upf
Al 26.98 Al.upf
ATOMIC_POSITIONS crystal
Y 0.8077 0.8077 0.5768
Y 0.1923 0.1923 0.4232
Tm 0.6270 0.6270 0.1190
Tm 0.3730 0.3730 0.8810
Tm 0.0904 0.0904 0.7288
Tm 0.9096 0.9096 0.2712
Al 0.0000 0.0000 0.0000
CELL_PARAMETERS angstrom
3.5467 0.0000 0.0000
1.7734 3.0715 0.0000
1.7734 1.0238 18.7939
! formation energy from the elements = -0.040 eV per atom
! uncorrected energy = -0.3658 Ry/atom

***

Record 5
! YTm7Al4 GGA-PBE optimized geometry; values from VASP
&SYSTEM
  ibrav = 0, nat = 12, ntyp = 3
/
ATOMIC_SPECIES
Al 26.98 Al.upf
Tm 168.93 Tm.upf
Y 88.91 Y.upf
ATOMIC_POSITIONS crystal
Al 0.4442 0.7653 0.3464
Al 0.3224 0.3326 0.0226
Al 0.6776 0.6674 0.9774
Al 0.5558 0.2347 0.6536
Tm 0.0652 0.6101 0.2596
Tm 0.5000 0.0000 0.0000
Tm 0.2998 0.6425 0.7579
Tm 0.9348 0.3899 0.7404
Tm 0.7847 0.8766 0.5540
Tm 0.2153 0.1234 0.4460
Tm 0.7002 0.3575 0.2421
Y 0.0000 0.0000 0.0000
CELL_PARAMETERS angstrom
5.4208 0.0000 0.0000
2.7104 8.5498 0.2957
2.7104 0.5409 6.8270
! formation energy from the elements = -0.040 eV per atom
! uncorrected energy = -0.3259 Ry/atom

***

Record 6
! Y8Tm2Al GGA-PBE optimized geometry; values from VASP
&SYSTEM
  ibrav = 0, nat = 11, ntyp = 3
/
ATOMIC_SPECIES
Y 88.91 Y.upf
Tm 168.93 Tm.upf
Al 26.98 Al.upf
ATOMIC_POSITIONS crystal
Y 0.6582 0.8771 0.3165
Y 0.1559 0.1916 0.3118
Y 0.0430 0.7475 0.0860
Y 0.5782 0.3972 0.1565
Y 0.3418 0.1229 0.6835
Y 0.4218 0.6028 0.8435
Y 0.8441 0.8084 0.6882
Y 0.9570 0.2525 0.9140
Tm 0.7589 0.3357 0.5177
Tm 0.2411 0.6643 0.4823
Al 0.5000 0.0000 0.0000
CELL_PARAMETERS angstrom
5.4862 0.0000 0.0000
0.0000 6.2968 1.2403
-2.7431 -1.2082 9.4970
! formation energy from the elements = -0.046 eV per atom
! uncorrected energy = -0.4337 Ry/atom

***

Record 7
! Y5TmAl6 GGA-PBE optimized geometry; values from VASP
&SYSTEM
  ibrav = 0, nat = 12, ntyp = 3
/
ATOMIC_SPECIES
Y 88.91 Y.upf
Al 26.98 Al.upf
Tm 168.93 Tm.upf
ATOMIC_POSITIONS crystal
Y 0.6674 0.5000 0.6652
Y 0.0000 0.5000 0.0000
Y 0.3339 0.0000 0.3323
Y 0.6661 0.0000 0.6677
Y 0.3326 0.5000 0.3348
Al 0.5001 0.2482 0.0000
Al 0.1657 0.2477 0.6686
Al 0.1658 0.7523 0.6686
Al 0.4999 0.7518 0.0000
Al 0.8343 0.7523 0.3314
Al 0.8342 0.2477 0.3314
Tm 0.0000 0.0000 0.0000
CELL_PARAMETERS angstrom
4.8224 -0.0288 1.6071
0.0386 7.2005 0.0129
-0.0006 -0.0144 8.0406
! formation energy from the elements = -0.413 eV per atom
! uncorrected energy = -0.3933 Ry/atom

***

Record 8
! YTmAl GGA-PBE optimized geometry; values from VASP
&SYSTEM
  ibrav = 0, nat = 3, ntyp = 3
/
ATOMIC_SPECIES
Tm 168.93 Tm.upf
Y 88.91 Y.upf
Al 26.98 Al.upf
ATOMIC_POSITIONS crystal
Tm 0.3018 0.3018 0.6036
Y 0.5996 0.5996 0.1992
Al 0.9486 0.9486 0.8972
CELL_PARAMETERS angstrom
-2.7698 -1.2049 -1.6235
1.9313 -0.7624 -2.7292
1.5811 -5.0763 4.6915
! formation energy from the elements = -0.267 eV per atom
! uncorrected energy = -0.3792 Ry/atom

***

Calculated volume, record by record: 20.729, 16.926, 18.748, 29.248, 26.295, 30.573, 23.268, 26.119 A^3/atom